A plane-wave DFT calculation with GGA-PBE was carried out for a relaxed structure of PmErGa.

abc: 4.9837 4.9837 4.9837
angles: 60.00 60.00 60.00
Sites, in units of the cell vectors:
Ga1 0.0000 0.0000 0.0000
Er1 0.2500 0.2500 0.2500
Pm1 0.7500 0.7500 0.7500

Properties
Raw total energy ... -13.06 eV for the cell shown
Size of the total moment ... 0.06 Bohr magnetons per cell
Offset from the most stable computed form ... 0.0000 eV per atom